(1)
First-principles (PBE) data for TcAuCl2 after structural relaxation, as listed in Alexandria.

a = 3.0887 Å, b = 3.0887 Å, c = 32.0750 Å
α = 90.00°, β = 90.00°, γ = 120.00°
With the nearest neighbours (Å) after each atom.
Space group R-3m (No. 166, hexagonal axes)
One atom of each set of equivalent atoms:
Tc 0.0000 0.0000 0.0000 x3  6 Cl 2.44
Au 0.0000 0.0000 0.5000 x3  6 Au 3.09
Cl 0.0000 0.0000 0.2816 x6  3 Tc 2.44

Summary:
calculated total energy: -4.26 eV per atom
DOS at the Fermi energy: 6.24 states/eV per cell
excess energy over the best structure of this formula in the dataset: 121 meV/atom
total magnetic moment: 0.0 μB per cell
V: 22.08 Å³/atom

***

(2)
First-principles (PBE) data for TcAu2Cl after structural relaxation, as listed in Alexandria.

a = 9.2037 Å, b = 2.9632 Å, c = 6.7842 Å
α = 90.00°, β = 100.45°, γ = 90.00°
With the nearest neighbours (Å) after each atom.
Space group Cm (No. 8)
One atom of each set of equivalent atoms:
Tc 0.0000 0.0000 0.0000 x2  2 Cl 2.36
Au 0.2526 0.0000 0.8611 x2  3 Tc 2.66-2.74, 5 Au 2.88-2.96
Au 0.4973 0.0000 0.6509 x2  1 Cl 2.72, 2 Tc 2.79, 5 Au 2.88-2.96
Cl 0.0596 0.5000 0.2743 x2  2 Tc 2.36

Summary:
calculated total energy: -4.41 eV per atom
DOS at the Fermi energy: 7.83 states/eV per cell
excess energy over the best structure of this formula in the dataset: 112 meV/atom
total magnetic moment: 2.5 μB per cell
V: 22.74 Å³/atom

***

(3)
First-principles (PBE) data for TcAu2Cl after structural relaxation, as listed in Alexandria.

a = 4.7129 Å, b = 4.7129 Å, c = 6.7002 Å
α = 90.00°, β = 90.00°, γ = 90.00°
With the nearest neighbours (Å) after each atom.
Space group I-4m2 (No. 119)
One atom of each set of equivalent atoms:
Tc 0.0000 0.0000 0.0000 x2  4 Cl 2.89, 4 Au 2.89
Au 0.0000 0.0000 0.5000 x2  4 Cl 2.89, 4 Au 2.89
Au 0.0000 0.5000 0.7500 x2  4 Tc 2.89, 4 Au 2.89
Cl 0.0000 0.5000 0.2500 x2  4 Tc 2.89, 4 Au 2.89

Summary:
calculated total energy: -4.02 eV per atom
DOS at the Fermi energy: 2.89 states/eV per cell
excess energy over the best structure of this formula in the dataset: 500 meV/atom
total magnetic moment: 7.3 μB per cell
V: 18.60 Å³/atom

***

(4)
First-principles (PBE) data for TcAuCl2 after structural relaxation, as listed in Alexandria.

a = 2.9722 Å, b = 2.9722 Å, c = 9.8129 Å
α = 90.00°, β = 90.00°, γ = 90.00°
With the nearest neighbours (Å) after each atom.
Space group P4/mmm (No. 123)
One atom of each set of equivalent atoms:
Tc 0.0000 0.0000 0.0000 x1  8 Cl 2.59
Au 0.0000 0.0000 0.5000 x1  4 Au 2.97
Cl 0.5000 0.5000 0.1538 x2  4 Tc 2.59

Summary:
calculated total energy: -3.93 eV per atom
DOS at the Fermi energy: 3.38 states/eV per cell
excess energy over the best structure of this formula in the dataset: 452 meV/atom
total magnetic moment: 1.3 μB per cell
V: 21.67 Å³/atom

***

(5)
First-principles (PBE) data for TcAuCl2 after structural relaxation, as listed in Alexandria.

a = 3.2033 Å, b = 4.8146 Å, c = 6.5194 Å
α = 77.92°, β = 89.64°, γ = 89.94°
With the nearest neighbours (Å) after each atom.
Space group P1 (No. 1)
One atom of each set of equivalent atoms:
Tc 0.0000 0.0000 0.0000 x1  4 Cl 2.39-2.43
Au 0.5054 0.0651 0.6630 x1  2 Tc 2.68-2.69, 1 Cl 2.72
Cl 0.0004 0.4982 0.9905 x1  2 Tc 2.39-2.43
Cl 0.4968 0.9077 0.2856 x1  2 Tc 2.42-2.43

Summary:
calculated total energy: -4.26 eV per atom
DOS at the Fermi energy: 1.85 states/eV per cell
excess energy over the best structure of this formula in the dataset: 125 meV/atom
total magnetic moment: 2.4 μB per cell
V: 24.58 Å³/atom

***

(6)
First-principles (PBE) data for TcAu2Cl after structural relaxation, as listed in Alexandria.

a = 6.7323 Å, b = 6.7323 Å, c = 6.7323 Å
α = 90.00°, β = 90.00°, γ = 90.00°
With the nearest neighbours (Å) after each atom.
Space group Fm-3m (No. 225)
One atom of each set of equivalent atoms:
Tc 0.0000 0.0000 0.0000 x4  8 Au 2.92
Au 0.2500 0.2500 0.2500 x8  4 Cl 2.92, 4 Tc 2.92
Cl 0.0000 0.0000 0.5000 x4  8 Au 2.92

Summary:
calculated total energy: -3.93 eV per atom
DOS at the Fermi energy: 4.97 states/eV per cell
excess energy over the best structure of this formula in the dataset: 595 meV/atom
total magnetic moment: 14.6 μB per cell
V: 19.07 Å³/atom

***

(7)
First-principles (PBE) data for TcAuCl2 after structural relaxation, as listed in Alexandria.

a = 6.8032 Å, b = 6.8032 Å, c = 6.8032 Å
α = 90.00°, β = 90.00°, γ = 90.00°
With the nearest neighbours (Å) after each atom.
Space group F-43m (No. 216)
One atom of each set of equivalent atoms:
Tc 0.0000 0.0000 0.0000 x4  4 Cl 2.95, 4 Au 2.95
Au 0.2500 0.2500 0.7500 x4  4 Cl 2.95, 4 Tc 2.95
Cl 0.0000 0.0000 0.5000 x4  4 Au 2.95, 4 Cl 2.95
Cl 0.2500 0.2500 0.2500 x4  4 Cl 2.95, 4 Tc 2.95

Summary:
calculated total energy: -3.67 eV per atom
DOS at the Fermi energy: 8.56 states/eV per cell
excess energy over the best structure of this formula in the dataset: 711 meV/atom
total magnetic moment: 16.3 μB per cell
V: 19.68 Å³/atom

***

(8)
First-principles (PBE) data for Tc2AuCl2 after structural relaxation, as listed in Alexandria.

a = 7.7955 Å, b = 7.7955 Å, c = 2.7701 Å
α = 90.00°, β = 90.00°, γ = 90.00°
With the nearest neighbours (Å) after each atom.
Space group P4/mbm (No. 127)
One atom of each set of equivalent atoms:
Tc 0.2005 0.2995 0.0000 x4  2 Cl 2.35
Au 0.0000 0.0000 0.5000 x2  2 Au 2.77, 4 Cl 3.07
Cl 0.1273 0.6273 0.5000 x4  2 Tc 2.35

Summary:
calculated total energy: -4.64 eV per atom
DOS at the Fermi energy: 9.13 states/eV per cell
excess energy over the best structure of this formula in the dataset: 203 meV/atom
total magnetic moment: 0.0 μB per cell
V: 16.83 Å³/atom

***

(9)
First-principles (PBE) data for TcAuCl after structural relaxation, as listed in Alexandria.

a = 2.9368 Å, b = 5.2209 Å, c = 14.7856 Å
α = 90.00°, β = 90.00°, γ = 90.00°
With the nearest neighbours (Å) after each atom.
Space group Fmm2 (No. 42)
One atom of each set of equivalent atoms:
Tc 0.0000 0.0000 0.0000 x4  2 Cl 2.36
Au 0.0000 0.0000 0.3403 x4  2 Tc 2.78, 6 Au 2.94-3.00
Cl 0.0000 0.0000 0.6252 x4  2 Tc 2.36

Summary:
calculated total energy: -4.78 eV per atom
DOS at the Fermi energy: 9.25 states/eV per cell
excess energy over the best structure of this formula in the dataset: 117 meV/atom
total magnetic moment: 4.9 μB per cell
V: 18.89 Å³/atom

***

(10)
First-principles (PBE) data for TcAu2Cl after structural relaxation, as listed in Alexandria.

a = 2.9717 Å, b = 2.9717 Å, c = 29.1086 Å
α = 90.00°, β = 90.00°, γ = 120.00°
With the nearest neighbours (Å) after each atom.
Space group R3m (No. 160, hexagonal axes)
One atom of each set of equivalent atoms:
Tc 0.0000 0.0000 0.0000 x3  3 Cl 2.45
Au 0.0000 0.0000 0.2577 x3  3 Tc 2.79, 9 Au 2.93-2.97
Au 0.0000 0.0000 0.5093 x3  9 Au 2.93-2.97
Cl 0.0000 0.0000 0.7267 x3  3 Tc 2.45

Summary:
calculated total energy: -4.52 eV per atom
DOS at the Fermi energy: 8.73 states/eV per cell
excess energy over the best structure of this formula in the dataset: 0 meV/atom
total magnetic moment: 0.0 μB per cell
V: 18.55 Å³/atom

***

(11)
First-principles (PBE) data for TcAu2Cl after structural relaxation, as listed in Alexandria.

a = 5.2876 Å, b = 9.6051 Å, c = 2.8184 Å
α = 90.00°, β = 90.00°, γ = 90.00°
With the nearest neighbours (Å) after each atom.
Space group Cmmm (No. 65)
One atom of each set of equivalent atoms:
Tc 0.0000 0.0000 0.0000 x2  2 Cl 2.64, 2 Tc 2.82
Au 0.2500 0.2500 0.5000 x4  4 Au 2.64-2.82
Cl 0.0000 0.5000 0.0000 x2  2 Tc 2.64, 2 Cl 2.82

Summary:
calculated total energy: -4.08 eV per atom
DOS at the Fermi energy: 6.01 states/eV per cell
excess energy over the best structure of this formula in the dataset: 437 meV/atom
total magnetic moment: 2.9 μB per cell
V: 17.89 Å³/atom

***

(12)
First-principles (PBE) data for TcAu2Cl after structural relaxation, as listed in Alexandria.

a = 2.9358 Å, b = 2.9358 Å, c = 8.6996 Å
α = 90.00°, β = 90.00°, γ = 90.00°
With the nearest neighbours (Å) after each atom.
Space group P4mm (No. 99)
One atom of each set of equivalent atoms:
Tc 0.0000 0.0000 0.0000 x1  4 Cl 2.49
Au 0.0000 0.0000 0.4672 x1  8 Au 2.94
Au 0.5000 0.5000 0.2282 x1  4 Tc 2.87, 8 Au 2.94
Cl 0.5000 0.5000 0.8426 x1  4 Tc 2.49

Summary:
calculated total energy: -4.38 eV per atom
DOS at the Fermi energy: 2.94 states/eV per cell
excess energy over the best structure of this formula in the dataset: 140 meV/atom
total magnetic moment: 0.0 μB per cell
V: 18.74 Å³/atom